! NiOsAu2O PBE with a Hubbard U optimized geometry; values from VASP
&SYSTEM
  ibrav = 0, nat = 5, ntyp = 4
/
ATOMIC_SPECIES
Ni 58.69 Ni.upf
Os 190.23 Os.upf
Au 196.97 Au.upf
O 16.00 O.upf
CELL_PARAMETERS angstrom
4.978 0.000 0.000
0.000 4.978 0.000
0.000 0.000 3.297
ATOMIC_POSITIONS crystal
Ni 0.000 0.000 0.000
Os 0.500 0.500 0.500
Au 0.000 0.500 0.000
Au 0.500 0.000 0.000
O 0.000 0.000 0.500
! Final energy (eV per formula unit): -20.45
! SG: P4/mmm